# 1
ScBO3 | meta-GGA SCAN | single point on PBEsol structure

Geometry as extended XYZ:
```
5
Lattice="3.340 0.000 0.000 0.000 3.340 0.000 0.000 0.000 3.340" Properties=species:S:1:pos:R:3 pbc="T T T"
O 1.670 0.000 0.000
O 0.000 1.670 0.000
O 0.000 0.000 1.670
Sc 1.670 1.670 1.670
B 0.000 0.000 0.000
```

Properties
electronic total energy = -52.07 eV per formula unit
energy relative to the elements, uncorrected = -2343 meV per atom
calculated volume = 37.3 Å³/f.u.
density of states at the Fermi level = 0.000 states/eV per atom

# 2
NaLi5N2 | meta-GGA SCAN | single point on PBEsol structure

Geometry as extended XYZ:
```
8
Lattice="3.591 0.000 0.000 0.000 3.807 -0.118 0.000 -1.377 7.176" Properties=species:S:1:pos:R:3 pbc="T T T"
Li 1.795 1.406 3.786
Li 0.000 1.409 2.528
Li 0.000 1.238 0.445
Li 1.795 3.257 1.662
Li 0.000 -0.447 4.644
N 1.795 1.340 1.388
N 0.000 1.455 4.534
Na 1.795 1.566 6.219
```

Properties
electronic total energy = -37.52 eV per formula unit
energy relative to the elements, uncorrected = -347 meV per atom
calculated volume = 97.5 Å³/f.u.

# 3
LaPt2Br | meta-GGA SCAN | single point on PBEsol structure

Geometry as extended XYZ:
```
4
Lattice="-1.399 2.269 3.467 2.174 -1.194 4.418 3.287 3.364 1.883" Properties=species:S:1:pos:R:3 pbc="T T T"
La 0.929 1.111 2.406
Pt 3.178 3.328 7.381
Pt 5.137 2.175 6.167
Br 2.308 2.216 4.999
```

Properties
electronic total energy = -205.94 eV per formula unit
energy relative to the elements, uncorrected = -747 meV per atom
calculated volume = 86.6 Å³/f.u.
distance to the lowest polymorph of the same formula = 0.0107 eV per atom
density of states at the Fermi level = 0.085 states/eV per atom

# 4
Mn2Se | meta-GGA SCAN | single point on PBEsol structure

Geometry as extended XYZ:
```
3
Lattice="-2.717 1.437 0.908 -1.395 -0.906 -2.739 0.849 -3.642 2.647" Properties=species:S:1:pos:R:3 pbc="T T T"
Se 0.000 0.000 0.000
Mn -2.454 -0.847 -0.345
Mn -0.809 -2.264 1.161
```

Properties
electronic total energy = -57.06 eV per formula unit
energy relative to the elements, uncorrected = -156 meV per atom
calculated volume = 40.9 Å³/f.u.
density of states at the Fermi level = 0.544 states/eV per atom

# 5
LaPdCl2 | meta-GGA SCAN | single point on PBEsol structure

Geometry as extended XYZ:
```
4
Lattice="-0.771 1.582 -3.174 -0.545 -2.034 -2.956 -8.711 -0.558 -0.238" Properties=species:S:1:pos:R:3 pbc="T T T"
La -5.013 -0.505 -3.184
Pd 0.000 0.000 0.000
Cl -3.547 -0.561 -5.643
Cl -6.479 -0.448 -0.725
```

Properties
electronic total energy = -96.49 eV per formula unit
energy relative to the elements, uncorrected = -1165 meV per atom
calculated volume = 96.7 Å³/f.u.
distance to the lowest polymorph of the same formula = 0.0000 eV per atom
density of states at the Fermi level = 0.740 states/eV per atom

# 6
Si3W2O12 | meta-GGA SCAN | single point on PBEsol structure

Geometry as extended XYZ:
```
68
Lattice="-2.262 -0.859 9.998 9.583 -3.355 -1.648 -0.717 9.860 -2.843" Properties=species:S:1:pos:R:3 pbc="T T T"
O 0.624 -0.019 4.360
O 5.362 1.433 6.167
O 3.299 -0.307 4.708
O 7.454 -0.181 5.313
O 7.233 2.431 0.807
O 1.329 0.026 1.374
O 0.538 6.465 -2.125
O 2.147 2.067 4.077
O -1.850 7.763 6.233
O 4.663 7.639 -1.931
O 0.584 3.146 6.997
O 3.302 3.179 6.426
O -0.850 5.827 0.194
O 7.500 4.645 -0.739
O 8.454 -2.118 -0.726
O 4.671 4.707 -1.028
O 1.941 -1.994 7.438
O -1.015 8.150 3.306
O 0.031 5.659 3.561
O 2.341 8.260 -0.410
O 2.938 6.061 5.439
O 7.619 -2.504 2.201
O 1.242 4.212 -0.660
O 5.980 5.664 1.147
O 3.666 -0.416 0.068
O 1.933 0.938 6.535
O 7.979 4.981 -3.751
O 1.179 7.331 1.935
O 4.658 2.843 4.101
O 6.573 -0.014 1.946
O 4.457 3.578 1.430
O -0.896 1.000 6.246
O 6.020 2.499 -1.490
O 5.425 -1.686 3.572
O 0.316 6.133 6.351
O 2.903 4.617 3.278
O -0.960 3.609 1.971
O 6.066 -0.819 7.632
O 3.305 5.952 0.799
O 5.275 5.619 4.133
O 3.701 1.028 2.229
O 4.263 -2.614 5.917
O -0.629 3.214 4.700
O 3.302 2.466 -0.919
O 6.288 -0.488 -0.844
O 1.946 2.803 1.406
O 7.564 2.037 3.536
O -1.375 0.664 9.258
Si 4.603 4.976 0.587
Si 4.760 2.894 5.735
Si -1.319 6.223 6.410
Si 1.844 2.751 -0.228
Si 7.371 3.012 -0.719
Si 0.354 7.251 3.349
Si 6.249 -1.606 2.158
Si -0.768 2.634 6.226
Si 2.001 0.670 4.920
Si 3.665 5.886 3.981
Si 7.923 -0.578 -0.903
Si 2.939 -0.241 1.526
W 3.302 2.823 2.754
W 0.000 0.000 0.000
W 3.661 -2.107 4.175
W 4.433 3.252 -2.245
W -1.131 -0.430 4.999
W 4.792 -1.678 -0.824
W -1.490 4.500 3.578
W -0.359 4.930 -1.421
```

Properties
electronic total energy = -286.81 eV per formula unit
energy relative to the elements, uncorrected = -2506 meV per atom
calculated volume = 209.5 Å³/f.u.
density of states at the Fermi level = 0.000 states/eV per atom

# 7
BaP3H | meta-GGA SCAN | single point on PBEsol structure

Geometry as extended XYZ:
```
5
Lattice="6.425 0.000 0.000 0.000 6.425 0.000 0.000 0.000 6.425" Properties=species:S:1:pos:R:3 pbc="T T T"
Ba 0.000 0.000 0.000
P 0.000 0.000 3.212
P 3.212 0.000 0.000
P 0.000 3.212 0.000
H 3.212 3.212 3.212
```

Properties
electronic total energy = -65.90 eV per formula unit
calculated volume = 265.2 Å³/f.u.
density of states at the Fermi level = 0.447 states/eV per atom

# 8
Ir2RuS2 | meta-GGA SCAN | single point on PBEsol structure

Geometry as extended XYZ:
```
5
Lattice="-0.989 3.688 0.488 -2.027 -0.111 -3.271 -2.599 -3.234 3.986" Properties=species:S:1:pos:R:3 pbc="T T T"
Ru 0.000 0.000 0.000
S -3.139 -1.105 1.983
S -2.476 1.448 -0.780
Ir -2.548 1.121 1.541
Ir -3.067 -0.778 -0.338
```

Properties
electronic total energy = -192.11 eV per formula unit
energy relative to the elements, uncorrected = 834 meV per atom
calculated volume = 75.1 Å³/f.u.
density of states at the Fermi level = 0.541 states/eV per atom

# 9
FeCo4Br | meta-GGA SCAN | single point on PBEsol structure

Geometry as extended XYZ:
```
6
Lattice="-3.661 0.640 -2.929 -4.423 -0.156 1.673 -2.573 3.963 0.260" Properties=species:S:1:pos:R:3 pbc="T T T"
Co -6.201 1.594 0.455
Co -5.283 3.638 -0.246
Co -4.007 1.672 -0.375
Co -5.823 1.990 -1.827
Fe -7.993 3.335 -0.747
Br 0.000 0.000 0.000
```

Properties
electronic total energy = -102.64 eV per formula unit
energy relative to the elements, uncorrected = 694 meV per atom
calculated volume = 74.9 Å³/f.u.
density of states at the Fermi level = 0.985 states/eV per atom

# 10
CuPt | meta-GGA SCAN | single point on PBEsol structure

Geometry as extended XYZ:
```
8
Lattice="3.797 0.000 0.000 0.000 3.797 0.000 -1.898 -1.898 7.367" Properties=species:S:1:pos:R:3 pbc="T T T"
Cu 0.000 1.898 3.684
Cu 0.000 0.000 5.420
Cu 1.898 1.898 1.947
Cu 1.898 0.000 3.684
Pt 1.898 1.898 5.405
Pt 0.000 1.898 0.000
Pt 0.000 0.000 1.963
Pt 1.898 0.000 0.000
```

Properties
electronic total energy = -85.63 eV per formula unit
ΔE_f = -0.2 eV per formula unit
calculated volume = 26.5 Å³/f.u.
density of states at the Fermi level = 0.754 states/eV per atom

# 11
Mn2CuIr | meta-GGA SCAN | single point on PBEsol structure

Geometry as extended XYZ:
```
4
Lattice="-0.530 -0.753 -2.666 -3.794 -1.615 1.210 -1.850 3.813 -0.709" Properties=species:S:1:pos:R:3 pbc="T T T"
Mn -0.925 1.907 -0.355
Mn -1.897 -0.808 0.605
Cu -3.087 0.722 -1.083
Ir -0.265 -0.377 -1.333
```

Properties
electronic total energy = -124.15 eV per formula unit
ΔE_f = -1.3 eV per formula unit
calculated volume = 52.1 Å³/f.u.
density of states at the Fermi level = 0.559 states/eV per atom

# 12
BaNaGa3 | meta-GGA SCAN | single point on PBEsol structure

Geometry as extended XYZ:
```
5
Lattice="5.902 0.000 0.000 0.000 5.902 0.000 0.000 0.000 5.902" Properties=species:S:1:pos:R:3 pbc="T T T"
Ga 0.000 0.000 2.951
Ga 0.000 2.951 0.000
Ga 2.951 0.000 0.000
Ba 0.000 0.000 0.000
Na 2.951 2.951 2.951
```

Properties
electronic total energy = -88.78 eV per formula unit
ΔE_f = 4.0 eV per formula unit
calculated volume = 205.6 Å³/f.u.
density of states at the Fermi level = 1.166 states/eV per atom

Please write out number 12 again, unchanged.
BaNaGa3 | meta-GGA SCAN | single point on PBEsol structure

Geometry as extended XYZ:
```
5
Lattice="5.902 0.000 0.000 0.000 5.902 0.000 0.000 0.000 5.902" Properties=species:S:1:pos:R:3 pbc="T T T"
Ga 0.000 0.000 2.951
Ga 0.000 2.951 0.000
Ga 2.951 0.000 0.000
Ba 0.000 0.000 0.000
Na 2.951 2.951 2.951
```

Properties
electronic total energy = -88.78 eV per formula unit
ΔE_f = 4.0 eV per formula unit
calculated volume = 205.6 Å³/f.u.
density of states at the Fermi level = 1.166 states/eV per atom

- What is the formula in the first record?
  ScBO3

- The highest electronic total energy belongs to which entry?
  NaLi5N2

- Among the records above, which one has the lowest electronic total energy?
  Si3W2O12